Material: CoCuNO2
Method: DFT, GGA+U
State: optimized geometry

extended XYZ file:
```
5
Lattice="3.872 0.000 0.000 0.000 3.872 0.000 0.000 0.000 3.576" Properties=species:S:1:pos:R:3 pbc="T T T"
Co 0.000 0.000 0.000
Cu 1.936 1.936 1.788
N 1.936 1.936 0.000
O 0.000 1.936 1.788
O 1.936 0.000 1.788
```

Output
Calculated total energy (eV/cell): -23.9